Record 1
Compound: KAs4Au
Source: the Alexandria database
Functional: GGA-PBEsol
Structure: optimized geometry

Results
ρ ... 6.03 g/cm³
Total DFT energy (no corrections) ... -4.124 eV/atom
Formation energy ... 0.123 eV per atom
Crystal system ... cubic
Calculated volume ... 24.608 Å³ per atom

Lattice parameters (Å, degrees): 8.3900 8.3900 8.3900 90.00 90.00 90.00
Space group F-43m (No. 216)
Asymmetric unit:
K1 0.0000 0.0000 0.0000 x4
As1 0.1044 0.1044 0.6044 x16
Au1 0.2500 0.2500 0.2500 x4

---

Record 2
Compound: KAsAu2
Source: the Alexandria database
Functional: GGA-PBEsol
Structure: optimized geometry

Results
DOS at the Fermi energy ... 2.0 states/eV/f.u.
ρ ... 10.50 g/cm³
Total DFT energy (no corrections) ... -3.290 eV/atom
Formation energy ... 0.232 eV per atom
Crystal system ... cubic
Calculated volume ... 20.087 Å³ per atom

Lattice parameters (Å, degrees): 6.8498 6.8498 6.8498 90.00 90.00 90.00
Space group F-43m (No. 216)
Asymmetric unit:
K1 0.0000 0.0000 0.0000 x4
As1 0.2500 0.2500 0.2500 x4
Au1 0.0000 0.0000 0.5000 x4
Au2 0.2500 0.2500 0.7500 x4

---

Record 3
Compound: KAsAu
Source: the Alexandria database
Functional: GGA-PBEsol
Structure: optimized geometry

Results
DOS at the Fermi energy ... 2.4 states/eV/f.u.
ρ ... 6.40 g/cm³
Total DFT energy (no corrections) ... -3.716 eV/atom
Formation energy ... -0.328 eV per atom
Crystal system ... hexagonal
Calculated volume ... 26.889 Å³ per atom

Lattice parameters (Å, degrees): 4.2856 4.2856 5.0716 90.00 90.00 120.00
Space group P-6m2 (No. 187)
Asymmetric unit:
K1 0.0000 0.0000 0.0000 x1
As1 0.3333 0.6667 0.5000 x1
Au1 0.6667 0.3333 0.5000 x1

---

Record 4
Compound: KAsAu
Source: the Alexandria database
Functional: GGA-PBEsol
Structure: optimized geometry

Results
DOS at the Fermi energy ... 3.0 states/eV/f.u.
ρ ... 6.81 g/cm³
Total DFT energy (no corrections) ... -3.227 eV/atom
Formation energy ... 0.160 eV per atom
Crystal system ... cubic
Calculated volume ... 25.293 Å³ per atom

Lattice parameters (Å, degrees): 6.7204 6.7204 6.7204 90.00 90.00 90.00
Space group F-43m (No. 216)
Asymmetric unit:
K1 0.0000 0.0000 0.0000 x4
As1 0.0000 0.0000 0.5000 x4
Au1 0.2500 0.2500 0.2500 x4

---

Record 5
Compound: K5As2Au
Source: the Alexandria database
Functional: GGA-PBEsol
Structure: optimized geometry

Results
DOS at the Fermi energy ... 0.8 states/eV/f.u.
ρ ... 3.37 g/cm³
Total DFT energy (no corrections) ... -2.897 eV/atom
Formation energy ... -0.422 eV per atom
Crystal system ... hexagonal
Calculated volume ... 33.362 Å³ per atom

Lattice parameters (Å, degrees): 5.6796 5.6796 19.1076 90.00 90.00 120.00
Space group P6_3/mmc (No. 194)
Asymmetric unit:
K1 0.0000 0.0000 0.1464 x4
K2 0.3333 0.6667 0.0494 x4
K3 0.3333 0.6667 0.2500 x2
As1 0.3333 0.6667 0.6206 x4
Au1 0.3333 0.6667 0.7500 x2

---

Record 6
Compound: KAsAu2
Source: the Alexandria database
Functional: GGA-PBEsol
Structure: optimized geometry

Results
DOS at the Fermi energy ... 0.1 states/eV/f.u.
ρ ... 6.80 g/cm³
Total DFT energy (no corrections) ... -3.742 eV/atom
Formation energy ... -0.220 eV per atom
Crystal system ... tetragonal
Calculated volume ... 31.016 Å³ per atom

Lattice parameters (Å, degrees): 5.5951 5.5951 15.8524 90.00 90.00 90.00
Space group I-42d (No. 122)
Asymmetric unit:
K1 0.0000 0.0000 0.0000 x4
As1 0.0000 0.0000 0.5000 x4
Au1 0.0288 0.2500 0.6250 x8

---

Record 7
Compound: KAsAu2
Source: the Alexandria database
Functional: GGA-PBEsol
Structure: optimized geometry

Results
DOS at the Fermi energy ... 1.1 states/eV/f.u.
ρ ... 9.63 g/cm³
Total DFT energy (no corrections) ... -3.567 eV/atom
Formation energy ... -0.045 eV per atom
Crystal system ... orthorhombic
Calculated volume ... 21.895 Å³ per atom

Lattice parameters (Å, degrees): 4.3458 2.9117 13.8425 90.00 90.00 90.00
Space group Amm2 (No. 38)
Asymmetric unit:
K1 0.0000 0.0000 0.0000 x2
As1 0.5000 0.0000 0.3486 x2
Au1 0.0000 0.0000 0.2506 x2
Au2 0.5000 0.0000 0.6645 x2

---

Record 8
Compound: LaAsAu2
Source: the Alexandria database
Functional: GGA-PBEsol
Structure: optimized geometry

Results
DOS at the Fermi energy ... 1.8 states/eV/f.u.
ρ ... 11.43 g/cm³
Total DFT energy (no corrections) ... -5.040 eV/atom
Formation energy ... -0.465 eV per atom
Crystal system ... tetragonal
Calculated volume ... 22.071 Å³ per atom

Lattice parameters (Å, degrees): 3.8667 3.8667 5.9047 90.00 90.00 90.00
Space group P4/mmm (No. 123)
Asymmetric unit:
La1 0.0000 0.0000 0.0000 x1
As1 0.0000 0.0000 0.5000 x1
Au1 0.5000 0.5000 0.2650 x2

---

Record 9
Compound: LaAs2Au
Source: the Alexandria database
Functional: GGA-PBEsol
Structure: optimized geometry

Results
DOS at the Fermi energy ... 1.5 states/eV/f.u.
ρ ... 9.35 g/cm³
Total DFT energy (no corrections) ... -5.708 eV/atom
Formation energy ... -0.837 eV per atom
Crystal system ... tetragonal
Calculated volume ... 21.565 Å³ per atom

Lattice parameters (Å, degrees): 4.1110 4.1110 20.4161 90.00 90.00 90.00
Space group I4/mmm (No. 139)
Asymmetric unit:
La1 0.0000 0.0000 0.1166 x4
As1 0.0000 0.0000 0.3372 x4
As2 0.0000 0.5000 0.0000 x4
Au1 0.0000 0.5000 0.2500 x4

---

Record 10
Compound: LaAs2Au
Source: the Alexandria database
Functional: GGA-PBEsol
Structure: optimized geometry

Results
DOS at the Fermi energy ... 1.5 states/eV/f.u.
ρ ... 9.44 g/cm³
Total DFT energy (no corrections) ... -5.490 eV/atom
Formation energy ... -0.619 eV per atom
Crystal system ... orthorhombic
Calculated volume ... 21.355 Å³ per atom

Lattice parameters (Å, degrees): 3.9060 4.6701 9.3654 90.00 90.00 90.00
Space group Imm2 (No. 44)
Asymmetric unit:
La1 0.0000 0.0000 0.0000 x2
As1 0.0000 0.0000 0.5056 x2
As2 0.0000 0.5000 0.7767 x2
Au1 0.0000 0.5000 0.2190 x2

---

Record 11
Compound: LaAs2Au
Source: the Alexandria database
Functional: GGA-PBEsol
Structure: optimized geometry

Results
DOS at the Fermi energy ... 0.6 states/eV/f.u.
ρ ... 8.74 g/cm³
Total DFT energy (no corrections) ... -5.681 eV/atom
Formation energy ... -0.810 eV per atom
Crystal system ... monoclinic
Calculated volume ... 23.059 Å³ per atom

Lattice parameters (Å, degrees): 10.6966 4.3981 4.2139 90.00 111.48 90.00
Space group Cm (No. 8)
Asymmetric unit:
La1 0.0000 0.0000 0.0000 x2
As1 0.1600 0.5000 0.8165 x2
As2 0.4200 0.0000 0.4025 x2
Au1 0.2530 0.0000 0.7110 x2

---

Record 12
Compound: La2AsAu
Source: the Alexandria database
Functional: GGA-PBEsol
Structure: optimized geometry

Results
DOS at the Fermi energy ... 3.8 states/eV/f.u.
ρ ... 8.69 g/cm³
Total DFT energy (no corrections) ... -5.973 eV/atom
Formation energy ... -1.043 eV per atom
Crystal system ... orthorhombic
Calculated volume ... 26.258 Å³ per atom

Lattice parameters (Å, degrees): 4.4815 4.1752 11.2266 90.00 90.00 90.00
Space group Amm2 (No. 38)
Asymmetric unit:
La1 0.0000 0.0000 0.0000 x2
La2 0.5000 0.0000 0.2715 x2
As1 0.0000 0.0000 0.7269 x2
Au1 0.5000 0.0000 0.5502 x2

---

Record 13
Compound: LaAsAu2
Source: the Alexandria database
Functional: GGA-PBEsol
Structure: optimized geometry

Results
DOS at the Fermi energy ... 1.5 states/eV/f.u.
ρ ... 11.80 g/cm³
Total DFT energy (no corrections) ... -5.209 eV/atom
Formation energy ... -0.633 eV per atom
Crystal system ... tetragonal
Calculated volume ... 21.378 Å³ per atom

Lattice parameters (Å, degrees): 4.3243 4.3243 9.1457 90.00 90.00 90.00
Space group I4/mmm (No. 139)
Asymmetric unit:
La1 0.0000 0.0000 0.0000 x2
As1 0.0000 0.0000 0.5000 x2
Au1 0.0000 0.5000 0.2500 x4

---

Record 14
Compound: La2AsAu
Source: the Alexandria database
Functional: GGA-PBEsol
Structure: optimized geometry

Results
DOS at the Fermi energy ... 5.3 states/eV/f.u.
ρ ... 7.99 g/cm³
Total DFT energy (no corrections) ... -5.964 eV/atom
Formation energy ... -1.033 eV per atom
Crystal system ... trigonal
Calculated volume ... 28.570 Å³ per atom

Lattice parameters (Å, degrees): 4.2251 4.2251 22.1757 90.00 90.00 120.00
Space group R-3m (No. 166, hexagonal axes)
Asymmetric unit:
La1 0.0000 0.0000 0.2465 x6
As1 0.0000 0.0000 0.5000 x3
Au1 0.0000 0.0000 0.0000 x3

---

Record 15
Compound: LaAsAu2
Source: the Alexandria database
Functional: GGA-PBEsol
Structure: optimized geometry

Results
DOS at the Fermi energy ... 1.6 states/eV/f.u.
ρ ... 10.94 g/cm³
Total DFT energy (no corrections) ... -5.019 eV/atom
Formation energy ... -0.444 eV per atom
Crystal system ... tetragonal
Calculated volume ... 23.073 Å³ per atom

Lattice parameters (Å, degrees): 3.9794 3.9794 5.8279 90.00 90.00 90.00
Space group P4mm (No. 99)
Asymmetric unit:
La1 0.0000 0.0000 0.0000 x1
As1 0.5000 0.5000 0.1364 x1
Au1 0.0000 0.0000 0.5146 x1
Au2 0.5000 0.5000 0.5958 x1

---

Record 16
Compound: LaAsAu4
Source: the Alexandria database
Functional: GGA-PBEsol
Structure: optimized geometry

Results
DOS at the Fermi energy ... 0.8 states/eV/f.u.
ρ ... 13.77 g/cm³
Total DFT energy (no corrections) ... -4.803 eV/atom
Formation energy ... -0.445 eV per atom
Crystal system ... cubic
Calculated volume ... 20.138 Å³ per atom

Lattice parameters (Å, degrees): 7.8477 7.8477 7.8477 90.00 90.00 90.00
Space group F-43m (No. 216)
Asymmetric unit:
La1 0.0000 0.0000 0.0000 x4
As1 0.2500 0.2500 0.2500 x4
Au1 0.1247 0.1247 0.6247 x16

---

Record 17
Compound: LaAs2Au
Source: the Alexandria database
Functional: GGA-PBEsol
Structure: optimized geometry

Results
DOS at the Fermi energy ... 3.0 states/eV/f.u.
ρ ... 8.92 g/cm³
Total DFT energy (no corrections) ... -5.364 eV/atom
Formation energy ... -0.493 eV per atom
Crystal system ... tetragonal
Calculated volume ... 22.596 Å³ per atom

Lattice parameters (Å, degrees): 3.8786 3.8786 6.0081 90.00 90.00 90.00
Space group P4mm (No. 99)
Asymmetric unit:
La1 0.0000 0.0000 0.0000 x1
As1 0.0000 0.0000 0.5113 x1
As2 0.5000 0.5000 0.1842 x1
Au1 0.5000 0.5000 0.6270 x1

---

Record 18
Compound: LaAs4Au
Source: the Alexandria database
Functional: GGA-PBEsol
Structure: optimized geometry

Results
DOS at the Fermi energy ... 3.2 states/eV/f.u.
ρ ... 8.55 g/cm³
Total DFT energy (no corrections) ... -5.222 eV/atom
Formation energy ... -0.273 eV per atom
Crystal system ... cubic
Calculated volume ... 20.577 Å³ per atom

Lattice parameters (Å, degrees): 7.9043 7.9043 7.9043 90.00 90.00 90.00
Space group F-43m (No. 216)
Asymmetric unit:
La1 0.0000 0.0000 0.0000 x4
As1 0.1202 0.1202 0.3798 x16
Au1 0.2500 0.2500 0.7500 x4

---

Record 19
Compound: LaAs2PtAu
Source: the Alexandria database
Functional: GGA-PBEsol
Structure: optimized geometry

Results
DOS at the Fermi energy ... 5.2 states/eV/f.u.
ρ ... 8.66 g/cm³
Total DFT energy (no corrections) ... -4.809 eV/atom
Formation energy ... 0.481 eV per atom
Crystal system ... tetragonal
Calculated volume ... 26.109 Å³ per atom

Lattice parameters (Å, degrees): 4.8038 4.8038 5.6569 90.00 90.00 90.00
Space group P4/mmm (No. 123)
Asymmetric unit:
La1 0.0000 0.0000 0.0000 x1
As1 0.0000 0.5000 0.5000 x2
Pt1 0.5000 0.5000 0.0000 x1
Au1 0.0000 0.0000 0.5000 x1

---

Record 20
Compound: Li2AsAu2
Source: the Alexandria database
Functional: GGA-PBEsol
Structure: optimized geometry

Results
DOS at the Fermi energy ... 2.0 states/eV/f.u.
ρ ... 10.27 g/cm³
Total DFT energy (no corrections) ... -3.725 eV/atom
Formation energy ... -0.347 eV per atom
Crystal system ... tetragonal
Calculated volume ... 15.615 Å³ per atom

Lattice parameters (Å, degrees): 7.3085 7.3085 2.9233 90.00 90.00 90.00
Space group P4/mbm (No. 127)
Asymmetric unit:
Li1 0.1600 0.3400 0.0000 x4
As1 0.0000 0.0000 0.5000 x2
Au1 0.1385 0.6385 0.5000 x4